Record 1
Computed, not measured: crystalline Li2PaPbO5 at its relaxed geometry at the PBE level of DFT.

Output
For the formation energy (no corrections), the calculation gives -1.818 eV/atom. The density of states at the Fermi level is 4.4 states/eV/f.u. As for the magnetization: 1.0 μB per formula unit. Its volume is 100.7 Å³ per cell. The calculation puts the total energy at -58.2 eV/cell. The calculated density is 8.8 g cm⁻³.

Lattice parameters (Å, degrees): 3.790 3.790 7.011 90.00 90.00 90.00
Fractional positions:
Li 0.000 0.000 0.244
Li 0.000 0.000 0.756
Pa 0.500 0.500 0.500
Pb 0.500 0.500 0.000
O 0.000 0.000 0.500
O 0.000 0.500 0.266
O 0.000 0.500 0.734
O 0.500 0.000 0.266
O 0.500 0.000 0.734


Record 2
Computed, not measured: crystalline BaReBiO6 at its relaxed geometry at the PBE level of DFT.

Output
For the formation energy (no corrections), the calculation gives -1.829 eV/atom. The density of states at the Fermi level is 0.0 states/eV/f.u. As for the magnetization: 0.0 μB per formula unit. Its volume is 158.7 Å³ per cell. The calculation puts the total energy at -64.5 eV/cell. The calculated density is 6.6 g cm⁻³.

Lattice parameters (Å, degrees): 5.730 5.730 5.580 90.00 90.00 120.00
Fractional positions:
Ba 0.000 0.000 0.000
Re 0.667 0.333 0.500
Bi 0.333 0.667 0.500
O 0.401 0.052 0.697
O 0.401 0.349 0.303
O 0.651 0.052 0.303
O 0.651 0.599 0.697
O 0.948 0.349 0.697
O 0.948 0.599 0.303


Record 3
Computed, not measured: crystalline CsCl at its relaxed geometry at the PBE level of DFT.

Output
For the formation energy (no corrections), the calculation gives -1.966 eV/atom. The density of states at the Fermi level is 0.0 states/eV/f.u. As for the magnetization: 0.0 μB per formula unit. Its volume is 88.4 Å³ per cell. The calculation puts the total energy at -6.6 eV/cell. The calculated density is 3.2 g cm⁻³.

Lattice parameters (Å, degrees): 5.001 5.001 5.001 60.00 60.00 60.00
Fractional positions:
Cs 0.000 0.000 0.000
Cl 0.500 0.500 0.500


Record 4
Computed, not measured: crystalline Fe4Pt5W at its relaxed geometry at the PBE level of DFT.

Output
For the energy of formation, the calculation gives -0.24 eV/atom. The density of states at the Fermi level is 6.6 states/eV/f.u. As for the magnetization: 0.2 μB per formula unit. Its volume is 143.6 Å³ per cell. The calculation puts the total energy at -79.4 eV/cell. The calculated density is 16.0 g cm⁻³.

Lattice parameters (Å, degrees): 2.751 2.751 18.975 90.00 90.00 90.00
Fractional positions:
Fe 0.000 0.000 0.098
Fe 0.000 0.000 0.293
Fe 0.000 0.000 0.707
Fe 0.000 0.000 0.902
Pt 0.500 0.500 0.000
Pt 0.500 0.500 0.196
Pt 0.500 0.500 0.394
Pt 0.500 0.500 0.606
Pt 0.500 0.500 0.804
W 0.000 0.000 0.500


Record 5
Computed, not measured: crystalline PuSiNi11 at its relaxed geometry at the PBE level of DFT.

Output
For the formation energy (no corrections), the calculation gives -0.201 eV/atom. The density of states at the Fermi level is 28.9 states/eV/f.u. As for the magnetization: 1.8 μB per formula unit. Its volume is 157.1 Å³ per cell. The calculation puts the total energy at -86.0 eV/cell. The calculated density is 9.7 g cm⁻³.

Lattice parameters (Å, degrees): 6.235 6.235 6.206 97.55 97.55 135.96
Fractional positions:
Pu 0.000 0.000 0.000
Si 0.500 0.500 0.500
Ni 0.000 0.000 0.500
Ni 0.000 0.500 0.000
Ni 0.007 0.655 0.647
Ni 0.287 0.507 0.776
Ni 0.345 0.993 0.353
Ni 0.493 0.713 0.224
Ni 0.500 0.000 0.000
Ni 0.507 0.287 0.776
Ni 0.655 0.007 0.647
Ni 0.713 0.493 0.224
Ni 0.993 0.345 0.353


Record 6
Computed, not measured: crystalline BeFe3Pb at its relaxed geometry at the PBE level of DFT.

Output
For the energy of formation, the calculation gives 2.02 eV/atom. Its excess energy over the best structure of this formula in the dataset is 1500 meV per atom. The density of states at the Fermi level is 7.6 states/eV/f.u. As for the magnetization: 8.5 μB per formula unit. Its volume is 116.1 Å³ per cell. The calculation puts the total energy at -22.7 eV/cell. The calculated density is 5.5 g cm⁻³.

Lattice parameters (Å, degrees): 4.878 4.878 4.878 90.00 90.00 90.00
Fractional positions:
Be 0.000 0.000 0.000
Fe 0.000 0.500 0.500
Fe 0.500 0.000 0.500
Fe 0.500 0.500 0.000
Pb 0.500 0.500 0.500


Record 7
Computed, not measured: crystalline Re3Se2 at its relaxed geometry at the PBE level of DFT.

Output
For the formation energy (no corrections), the calculation gives 0.942 eV/atom. Its excess energy over the best structure of this formula in the dataset is 547 meV per atom. The density of states at the Fermi level is 5.9 states/eV/f.u. As for the magnetization: 0.0 μB per formula unit. Its volume is 81.1 Å³ per cell. The calculation puts the total energy at -39.6 eV/cell. The calculated density is 14.7 g cm⁻³.

Lattice parameters (Å, degrees): 4.161 4.161 5.411 90.00 90.00 120.00
Fractional positions:
Re 0.000 0.000 0.000
Re 0.333 0.667 0.335
Re 0.667 0.333 0.665
Se 0.333 0.667 0.790
Se 0.667 0.333 0.210


Record 8
Computed, not measured: crystalline SmZr3Al8 at its relaxed geometry at the PBE level of DFT.

Output
For the energy of formation, the calculation gives -0.51 eV/atom. The density of states at the Fermi level is 4.3 states/eV/f.u. As for the magnetization: 0.0 μB per formula unit. Its volume is 223.1 Å³ per cell. The calculation puts the total energy at -66.4 eV/cell. The calculated density is 4.8 g cm⁻³.

Lattice parameters (Å, degrees): 9.382 9.382 9.382 33.42 33.42 33.42
Fractional positions:
Sm 0.000 0.000 0.000
Zr 0.126 0.126 0.126
Zr 0.501 0.501 0.501
Zr 0.622 0.622 0.622
Al 0.062 0.062 0.559
Al 0.062 0.559 0.062
Al 0.066 0.564 0.564
Al 0.312 0.312 0.312
Al 0.559 0.062 0.062
Al 0.564 0.066 0.564
Al 0.564 0.564 0.066
Al 0.813 0.813 0.813